(1)
BaCaZr SCAN PBEsol geometry; space-group type = P3m1; energy of formation = 512.6 meV/atom; energy above the lowest structure with this stoichiometry = 0 meV per atom; theoretical density = 4.45 g cm⁻³; uncorrected energy = -26.12 eV/atom
1.0
3.583 0.000 0.000
-1.792 3.103 0.000
0.000 0.000 9.023
Ba Ca Zr
1 1 1
direct
0.000 0.000 0.024 Ba
0.667 0.333 0.635 Ca
0.333 0.667 0.341 Zr

***

(2)
BaCaZr2 SCAN PBEsol geometry; space-group type = P2/m; energy of formation = 604.6 meV/atom; energy above the lowest structure with this stoichiometry = 0 meV per atom; theoretical density = 5.04 g cm⁻³; uncorrected energy = -27.05 eV/atom
1.0
3.205 0.000 0.004
0.000 5.838 0.000
-1.441 0.000 6.331
Ca Ba Zr
1 1 2
direct
0.000 0.500 0.500 Ca
0.500 0.500 0.000 Ba
0.823 0.000 0.705 Zr
0.177 0.000 0.295 Zr

***

(3)
BaCaZr2 SCAN PBEsol geometry; space-group type = Cmmm; energy of formation = 678.1 meV/atom; energy above the lowest structure with this stoichiometry = 73 meV per atom; theoretical density = 5.21 g cm⁻³; uncorrected energy = -26.97 eV/atom
1.0
-3.219 0.428 -0.226
1.105 -3.060 -0.101
-0.946 -0.741 12.103
Zr Ba Ca
2 1 1
direct
0.000 0.000 0.243 Zr
0.000 0.000 0.757 Zr
0.500 0.500 0.500 Ba
0.500 0.500 0.000 Ca

***

(4)
BaCaZr2 SCAN PBEsol geometry; space-group type = I4/mmm; energy of formation = 707.1 meV/atom; energy above the lowest structure with this stoichiometry = 102 meV per atom; theoretical density = 5.25 g cm⁻³; uncorrected energy = -26.95 eV/atom
1.0
4.624 0.000 0.000
0.000 4.624 0.000
-2.312 -2.312 5.327
Zr Ca Ba
2 1 1
direct
0.250 0.750 0.500 Zr
0.750 0.250 0.500 Zr
0.000 0.000 0.000 Ca
0.500 0.500 0.000 Ba

***

(5)
BaCaZr SCAN PBEsol geometry; space-group type = F-43m; energy of formation = 1039.0 meV/atom; energy above the lowest structure with this stoichiometry = 527 meV per atom; theoretical density = 3.48 g cm⁻³; uncorrected energy = -25.60 eV/atom
1.0
-3.828 -4.149 0.405
1.230 -4.714 2.880
-2.538 -1.035 4.951
Zr Ca Ba
1 1 1
direct
0.250 0.250 0.250 Zr
0.500 0.500 0.500 Ca
0.000 0.000 0.000 Ba

***

(6)
BaCaZr2 SCAN PBEsol geometry; space-group type = P4/mmm; energy of formation = 777.6 meV/atom; energy above the lowest structure with this stoichiometry = 173 meV per atom; theoretical density = 4.89 g cm⁻³; uncorrected energy = -26.88 eV/atom
1.0
-1.238 -1.536 3.368
-2.969 -1.708 -1.870
4.539 -6.480 -1.287
Ba Zr Ca
1 2 1
direct
0.500 0.500 0.000 Ba
0.000 0.000 0.695 Zr
0.000 0.000 0.305 Zr
0.500 0.500 0.500 Ca

***

(7)
BaCaZr SCAN PBEsol geometry; space-group type = I4mm; energy of formation = 512.5 meV/atom; energy above the lowest structure with this stoichiometry = 0 meV per atom; theoretical density = 4.35 g cm⁻³; uncorrected energy = -26.12 eV/atom
1.0
3.527 0.000 0.000
0.000 3.527 0.000
-1.764 -1.764 8.234
Ca Zr Ba
1 1 1
direct
0.686 0.686 0.372 Ca
0.329 0.329 0.658 Zr
0.985 0.985 0.970 Ba

***

(8)
BaCd5 SCAN PBEsol geometry; space-group type = C2/m; energy of formation = -245.5 meV/atom; theoretical density = 7.30 g cm⁻³; uncorrected energy = -32.18 eV/atom
1.0
4.856 0.000 0.000
-2.428 4.205 0.183
0.000 -0.314 7.774
Cd Ba
5 1
direct
0.666 0.332 0.302 Cd
0.667 0.334 0.698 Cd
0.000 0.000 0.500 Cd
0.334 0.668 0.698 Cd
0.333 0.666 0.302 Cd
0.000 0.000 0.000 Ba

***

The following total magnetic moment values (in μB per cell) correspond, in order, to the records above: 0.11 0.87 0.00 0.00 4.24 0.78 0.24 0.00.